w) An optimized crystal structure of Ga3NiS. Source: Alexandria via LeMat-Bulk, functional PBE.

Computed properties:
D(E_F)	0.7306	states/eV/atom
total magnetization	0.000	μB per atom
V	107	Å³/cell

Geometry as CIF:
```
data_Ga3NiS
_space_group_name_H-M_alt 'P m -3 m'
_space_group_IT_number 221
_space_group_name_Hall '-P 4 2 3'
_cell_length_a 4.7467
_cell_length_b 4.7467
_cell_length_c 4.7467
_cell_angle_alpha 90.00
_cell_angle_beta 90.00
_cell_angle_gamma 90.00
loop_
_atom_site_label
_atom_site_fract_x
_atom_site_fract_y
_atom_site_fract_z
_atom_site_occupancy
Ga1 0.0000 0.0000 0.5000 1
Ni1 0.5000 0.5000 0.5000 1
S1 0.0000 0.0000 0.0000 1
```

---

x) An optimized crystal structure of Ga3NiS. Source: Alexandria via LeMat-Bulk, functional PBE.

Computed properties:
D(E_F)	0.6502	states/eV/atom
total magnetization	0.000	μB per atom
V	96	Å³/cell

Geometry as CIF:
```
data_Ga3NiS
_space_group_name_H-M_alt 'P m -3 m'
_space_group_IT_number 221
_space_group_name_Hall '-P 4 2 3'
_cell_length_a 4.5831
_cell_length_b 4.5831
_cell_length_c 4.5831
_cell_angle_alpha 90.00
_cell_angle_beta 90.00
_cell_angle_gamma 90.00
loop_
_atom_site_label
_atom_site_fract_x
_atom_site_fract_y
_atom_site_fract_z
_atom_site_occupancy
Ga1 0.0000 0.0000 0.5000 1
Ni1 0.0000 0.0000 0.0000 1
S1 0.5000 0.5000 0.5000 1
```

---

Relative energies, kJ/mol of atoms: w) 78.7; x) 0.0.

---

w) An optimized crystal structure of GaNi3S. Source: Alexandria via LeMat-Bulk, functional PBE.

Computed properties:
D(E_F)	1.0949	states/eV/atom
total magnetization	0.170	μB per atom
V	82	Å³/cell

Geometry as CIF:
```
data_GaNi3S
_space_group_name_H-M_alt 'P m -3 m'
_space_group_IT_number 221
_space_group_name_Hall '-P 4 2 3'
_cell_length_a 4.3432
_cell_length_b 4.3432
_cell_length_c 4.3432
_cell_angle_alpha 90.00
_cell_angle_beta 90.00
_cell_angle_gamma 90.00
loop_
_atom_site_label
_atom_site_fract_x
_atom_site_fract_y
_atom_site_fract_z
_atom_site_occupancy
Ga1 0.0000 0.0000 0.0000 1
Ni1 0.0000 0.0000 0.5000 1
S1 0.5000 0.5000 0.5000 1
```

---

x) An optimized crystal structure of GaNi3S. Source: Alexandria via LeMat-Bulk, functional PBE.

Computed properties:
D(E_F)	2.7014	states/eV/atom
total magnetization	0.000	μB per atom
V	72	Å³/cell

Geometry as CIF:
```
data_GaNi3S
_space_group_name_H-M_alt 'P m -3 m'
_space_group_IT_number 221
_space_group_name_Hall '-P 4 2 3'
_cell_length_a 4.1607
_cell_length_b 4.1607
_cell_length_c 4.1607
_cell_angle_alpha 90.00
_cell_angle_beta 90.00
_cell_angle_gamma 90.00
loop_
_atom_site_label
_atom_site_fract_x
_atom_site_fract_y
_atom_site_fract_z
_atom_site_occupancy
Ga1 0.0000 0.0000 0.0000 1
Ni1 0.0000 0.5000 0.5000 1
S1 0.5000 0.5000 0.5000 1
```

---

Relative energies, kJ/mol of atoms: w) 79.1; x) 0.0.

---

w) An optimized crystal structure of Ga3NiSb. Source: Alexandria via LeMat-Bulk, functional PBE.

Computed properties:
D(E_F)	0.7947	states/eV/atom
total magnetization	0.000	μB per atom
V	150	Å³/cell

Geometry as CIF:
```
data_Ga3NiSb
_space_group_name_H-M_alt 'P m -3 m'
_space_group_IT_number 221
_space_group_name_Hall '-P 4 2 3'
_cell_length_a 5.3142
_cell_length_b 5.3142
_cell_length_c 5.3142
_cell_angle_alpha 90.00
_cell_angle_beta 90.00
_cell_angle_gamma 90.00
loop_
_atom_site_label
_atom_site_fract_x
_atom_site_fract_y
_atom_site_fract_z
_atom_site_occupancy
Ga1 0.0000 0.0000 0.5000 1
Ni1 0.5000 0.5000 0.5000 1
Sb1 0.0000 0.0000 0.0000 1
```

---

x) An optimized crystal structure of Ga3NiSb. Source: Alexandria via LeMat-Bulk, functional PBE.

Computed properties:
D(E_F)	1.0519	states/eV/atom
total magnetization	0.000	μB per atom
V	102	Å³/cell

Geometry as CIF:
```
data_Ga3NiSb
_space_group_name_H-M_alt 'P m -3 m'
_space_group_IT_number 221
_space_group_name_Hall '-P 4 2 3'
_cell_length_a 4.6696
_cell_length_b 4.6696
_cell_length_c 4.6696
_cell_angle_alpha 90.00
_cell_angle_beta 90.00
_cell_angle_gamma 90.00
loop_
_atom_site_label
_atom_site_fract_x
_atom_site_fract_y
_atom_site_fract_z
_atom_site_occupancy
Ga1 0.0000 0.0000 0.5000 1
Ni1 0.0000 0.0000 0.0000 1
Sb1 0.5000 0.5000 0.5000 1
```

---

Relative energies, kJ/mol of atoms: w) 100.5; x) 0.0.

---

w) An optimized crystal structure of GaNi4Sb. Source: Alexandria via LeMat-Bulk, functional PBE.

Computed properties:
D(E_F)	0.7084	states/eV/atom
total magnetization	0.000	μB per atom
V	160	Å³/cell

Geometry as CIF:
```
data_GaNi4Sb
_space_group_name_H-M_alt 'P 1 21/c 1'
_space_group_IT_number 14
_space_group_name_Hall '-P 2ybc'
_cell_length_a 5.1804
_cell_length_b 7.1065
_cell_length_c 4.6673
_cell_angle_alpha 90.00
_cell_angle_beta 111.08
_cell_angle_gamma 90.00
loop_
_atom_site_label
_atom_site_fract_x
_atom_site_fract_y
_atom_site_fract_z
_atom_site_occupancy
Ga1 0.0000 0.0000 0.0000 1
Ni1 0.1078 0.1660 0.5956 1
Ni2 0.3686 0.6593 0.4141 1
Sb1 0.5000 0.0000 0.5000 1
```

---

x) An optimized crystal structure of GaNi4Sb. Source: Alexandria via LeMat-Bulk, functional PBE.

Computed properties:
D(E_F)	0.6685	states/eV/atom
total magnetization	0.000	μB per atom
V	157	Å³/cell

Geometry as CIF:
```
data_GaNi4Sb
_space_group_name_H-M_alt 'C 1 2/m 1'
_space_group_IT_number 12
_space_group_name_Hall '-C 2y'
_cell_length_a 8.3239
_cell_length_b 3.3583
_cell_length_c 6.0488
_cell_angle_alpha 90.00
_cell_angle_beta 111.44
_cell_angle_gamma 90.00
loop_
_atom_site_label
_atom_site_fract_x
_atom_site_fract_y
_atom_site_fract_z
_atom_site_occupancy
Ga1 0.0000 0.0000 0.0000 1
Ni1 0.1601 0.5000 0.8554 1
Ni2 0.1725 0.5000 0.3092 1
Sb1 0.0000 0.0000 0.5000 1
```

---

Relative energies, kJ/mol of atoms: w) 4.5; x) 0.0.

---

w) An optimized crystal structure of Sc3Ga2Ni. Source: Alexandria via LeMat-Bulk, functional PBE.

Computed properties:
D(E_F)	0.5689	states/eV/atom
total magnetization	0.000	μB per atom
V	108	Å³/cell

Geometry as CIF:
```
data_Sc3Ga2Ni
_space_group_name_H-M_alt 'P 4/m m m'
_space_group_IT_number 123
_space_group_name_Hall '-P 4 2'
_cell_length_a 3.2291
_cell_length_b 3.2291
_cell_length_c 10.3523
_cell_angle_alpha 90.00
_cell_angle_beta 90.00
_cell_angle_gamma 90.00
loop_
_atom_site_label
_atom_site_fract_x
_atom_site_fract_y
_atom_site_fract_z
_atom_site_occupancy
Sc1 0.0000 0.0000 0.0000 1
Sc2 0.0000 0.0000 0.3512 1
Ga1 0.5000 0.5000 0.1756 1
Ni1 0.5000 0.5000 0.5000 1
```

---

x) An optimized crystal structure of Sc3Ga2Ni. Source: Alexandria via LeMat-Bulk, functional PBE.

Computed properties:
D(E_F)	0.8921	states/eV/atom
total magnetization	0.000	μB per atom
V	454	Å³/cell

Geometry as CIF:
```
data_Sc3Ga2Ni
_space_group_name_H-M_alt 'P n m a'
_space_group_IT_number 62
_space_group_name_Hall '-P 2ac 2n'
_cell_length_a 10.8842
_cell_length_b 4.2065
_cell_length_c 9.9135
_cell_angle_alpha 90.00
_cell_angle_beta 90.00
_cell_angle_gamma 90.00
loop_
_atom_site_label
_atom_site_fract_x
_atom_site_fract_y
_atom_site_fract_z
_atom_site_occupancy
Sc1 0.0464 0.2500 0.1360 1
Sc2 0.1343 0.7500 0.5802 1
Sc3 0.2235 0.2500 0.8163 1
Ga1 0.0132 0.7500 0.3251 1
Ga2 0.1850 0.7500 0.0185 1
Ni1 0.1199 0.2500 0.3929 1
```

---

Relative energies, kJ/mol of atoms: w) 0.0; x) 1.1.